[1]
A plane-wave DFT calculation with PBEsol was carried out for CdInRh after structural relaxation.

Properties
crystal system: tetragonal
E_tot: -4.2378 eV per atom
symmetry: No. 107

Cell: 6.119 6.119 6.119 Å, 150.74 150.74 41.86°
Atoms (fractional coordinates):
Cd1 0.000 0.000 0.000
In1 0.293 0.293 0.000
Rh1 0.653 0.653 0.000

[2]
A plane-wave DFT calculation with PBEsol was carried out for YAlCr2 after structural relaxation.

Properties
crystal system: orthorhombic
E_tot: -7.5774 eV per atom
symmetry: No. 44

Cell: 5.285 5.285 5.285 Å, 145.48 128.80 63.22°
Atoms (fractional coordinates):
Y1 0.000 0.000 0.000
Al1 0.283 0.783 0.500
Cr1 0.555 0.555 0.000
Cr2 0.729 0.229 0.500

[3]
A plane-wave DFT calculation with PBEsol was carried out for Cd2Se after structural relaxation.

Properties
crystal system: tetragonal
E_tot: -2.1128 eV per atom
offset from the most stable computed form: 0.206 eV per atom
symmetry: No. 139

Cell: 5.224 5.224 5.224 Å, 137.21 137.21 62.12°
Atoms (fractional coordinates):
Cd1 0.166 0.166 0.000
Cd2 0.834 0.834 0.000
Se1 0.500 0.500 0.000

It is found that the D(E_F) values, taken in the order of the records, are 1.83 2.95 1.15 states/eV/cell.
It is found that the total magnetization values, taken in the order of the records, are 0.00 0.00 0.00 μB per atom.